Computed, not measured: Re3PC after structural relaxation at the PBE level of DFT.

a b c (Å): 4.0778 4.0778 4.0778
angles (deg): 90.00 90.00 90.00
Closest atoms and distances in Å follow each position.
Fractional positions:
P 0.5000 0.5000 0.5000  12 Re 2.88
C 0.0000 0.0000 0.0000  6 Re 2.04
Re 0.0000 0.5000 0.0000  2 C 2.04
Re 0.5000 0.0000 0.0000  2 C 2.04
Re 0.0000 0.0000 0.5000  2 C 2.04

Computed properties:
As for the energy of formation: 749.9 meV per atom. As for the space group: Pm-3m. Its excess energy over the best structure of this formula in the dataset is 0.00 kcal/mol of atoms.

Computed, not measured: HfSb2Au2 after structural relaxation at the PBE level of DFT.

a b c (Å): 7.5271 7.5271 3.9212
angles (deg): 90.00 90.00 90.00
Closest atoms and distances in Å follow each position.
Fractional positions:
Hf 0.0000 0.0000 0.0000  4 Au 2.96
Au 0.6287 0.1287 0.0000  1 Au 2.74, 6 Sb 2.82-3.07, 2 Hf 2.96
Sb 0.6805 0.8195 0.5000  6 Au 2.82-3.07
Sb 0.3195 0.1805 0.5000  6 Au 2.82-3.07
Sb 0.8195 0.3195 0.5000  6 Au 2.82-3.07
Au 0.8713 0.6287 0.0000  1 Au 2.74, 6 Sb 2.82-3.07, 2 Hf 2.96
Hf 0.5000 0.5000 0.0000  4 Au 2.96
Au 0.1287 0.3713 0.0000  1 Au 2.74, 6 Sb 2.82-3.07, 2 Hf 2.96
Au 0.3713 0.8713 0.0000  1 Au 2.74, 6 Sb 2.82-3.07, 2 Hf 2.96
Sb 0.1805 0.6805 0.5000  6 Au 2.82-3.07

Computed properties:
For the formation energy from raw total energies, the calculation gives -0.07 eV per atom. As for the space group: P4/mbm. Its excess energy over the best structure of this formula in the dataset is 0.00 kcal/mol of atoms.

Computed, not measured: KBaCa2S after structural relaxation at the PBE level of DFT.

a b c (Å): 5.6747 6.6038 5.6747
angles (deg): 90.00 90.00 90.00
Closest atoms and distances in Å follow each position.
Fractional positions:
S 0.0000 0.0000 0.0000  4 Ca 2.84
Ca 0.0000 0.0000 0.5000  2 S 2.84
Ba 0.0000 0.5000 0.0000  2 S 3.30
K 0.5000 0.5000 0.5000  4 Ba 4.01, 8 Ca 4.35
Ca 0.5000 0.0000 0.0000  2 S 2.84

Computed properties:
For the formation energy from raw total energies, the calculation gives -0.62 eV per atom. As for the space group: P4/mmm.

Computed, not measured: Tl3OsRh after structural relaxation at the PBE level of DFT.

a b c (Å): 5.2071 5.2071 5.2071
angles (deg): 90.00 90.00 90.00
Closest atoms and distances in Å follow each position.
Fractional positions:
Os 0.0000 0.0000 0.0000  6 Tl 2.60
Tl 0.5000 0.0000 0.0000  2 Os 2.60
Rh 0.5000 0.5000 0.5000  12 Tl 3.68
Tl 0.0000 0.0000 0.5000  2 Os 2.60
Tl 0.0000 0.5000 0.0000  2 Os 2.60

Computed properties:
As for the energy of formation: 1094.7 meV per atom. As for the space group: Pm-3m. Its excess energy over the best structure of this formula in the dataset is 0.00 kcal/mol of atoms.

Computed, not measured: Dy3ErCu2 after structural relaxation at the PBE level of DFT.

a b c (Å): 4.8975 6.8436 8.6909
angles (deg): 90.00 90.00 90.00
Closest atoms and distances in Å follow each position.
Fractional positions:
Er 0.5000 0.5138 0.5746  3 Cu 2.82-3.07
Cu 0.5000 0.2385 0.1528  6 Dy 2.78-3.07, 1 Er 2.82
Cu 0.5000 0.7385 0.8472  6 Dy 2.78-3.07, 1 Er 2.82
Dy 0.5000 0.1446 0.8344  4 Cu 2.78-3.03
Dy 0.0000 0.8551 0.6643  4 Cu 2.78-3.03
Dy 0.0000 0.9867 0.0756  3 Cu 2.83-3.07
Cu 0.0000 0.2613 0.6507  5 Dy 2.78-3.03, 2 Er 3.07
Dy 0.5000 0.6446 0.1656  4 Cu 2.78-3.03
Dy 0.0000 0.3551 0.3357  4 Cu 2.78-3.03
Cu 0.0000 0.7613 0.3493  5 Dy 2.78-3.03, 2 Er 3.07
Er 0.5000 0.0138 0.4254  3 Cu 2.82-3.07
Dy 0.0000 0.4867 0.9244  3 Cu 2.83-3.07

Computed properties:
As for the energy of formation: -168.0 meV per atom. As for the space group: Pmc2_1. Its excess energy over the best structure of this formula in the dataset is 0.00 kcal/mol of atoms.

Computed, not measured: La6Pm5In after structural relaxation at the PBE level of DFT.

a b c (Å): 5.1175 9.7260 9.7260
angles (deg): 107.44 105.24 105.24
Closest atoms and distances in Å follow each position.
Fractional positions:
Pm 0.5000 0.1679 0.8321  8 La 3.58-3.75, 2 Pm 3.66, 2 In 3.67
Pm 0.5000 0.5000 0.5000  4 Pm 3.64, 8 La 3.68-3.69
La 0.7568 0.5940 0.9203  7 Pm 3.58-3.75, 1 In 3.58, 4 La 3.62-3.74
La 0.7568 0.9203 0.5940  7 Pm 3.58-3.75, 1 In 3.58, 4 La 3.62-3.74
La 0.2432 0.0797 0.4060  7 Pm 3.58-3.75, 1 In 3.58, 4 La 3.62-3.74
La 0.7429 0.2428 0.2428  2 In 3.58, 4 La 3.62, 6 Pm 3.63-3.70
Pm 0.0000 0.6648 0.3352  4 Pm 3.64-3.66, 8 La 3.68-3.70
La 0.2571 0.7572 0.7572  2 In 3.58, 4 La 3.62, 6 Pm 3.63-3.70
In 0.0000 0.0000 0.0000  8 La 3.58, 4 Pm 3.67
Pm 0.5000 0.8321 0.1679  8 La 3.58-3.75, 2 Pm 3.66, 2 In 3.67
La 0.2432 0.4060 0.0797  7 Pm 3.58-3.75, 1 In 3.58, 4 La 3.62-3.74
Pm 0.0000 0.3352 0.6648  4 Pm 3.64-3.66, 8 La 3.68-3.70

Computed properties:
As for the energy of formation: -65.1 meV per atom. As for the space group: Immm.

Computed, not measured: ReMo2W4 after structural relaxation at the PBE level of DFT.

a b c (Å): 6.9933 6.9895 7.8456
angles (deg): 112.63 112.37 118.12
Closest atoms and distances in Å follow each position.
Fractional positions:
W 0.0780 0.5422 0.7340  4 Mo 2.69-2.73, 2 W 2.73-2.87, 2 Re 2.73-2.85
W 0.5721 0.1777 0.9497  3 Re 2.70-2.72, 2 Mo 2.73-2.74, 3 W 2.74-2.87
Mo 0.6059 0.5007 0.4082  3 Re 2.70-2.72, 4 W 2.72-2.86, 1 Mo 2.83
Re 0.0722 0.6740 0.4478  6 W 2.70-2.86, 2 Mo 2.72-2.86
Mo 0.8423 0.5930 0.9286  7 W 2.69-2.73, 1 Re 2.70
W 0.5700 0.7521 0.8057  1 Mo 2.69, 6 W 2.69-2.86, 1 Re 2.87
W 0.6090 0.9276 0.5527  4 W 2.68-2.74, 3 Mo 2.73-2.86, 1 Re 2.86
Mo 0.5740 0.0394 0.2330  7 W 2.70-2.86, 1 Mo 2.83
Re 0.1057 0.0035 0.9064  4 Mo 2.70-2.72, 4 W 2.71-2.87
W 0.6035 0.6385 0.1245  5 Mo 2.70-2.74, 3 W 2.74-2.86
Mo 0.1010 0.1372 0.6232  6 W 2.68-2.87, 2 Re 2.72-2.86
W 0.3390 0.0885 0.4313  2 W 2.68-2.70, 5 Mo 2.68-2.72, 1 Re 2.70
W 0.0690 0.2493 0.3024  4 W 2.69-2.72, 1 Re 2.73, 3 Mo 2.76-2.87
W 0.1083 0.4262 0.0524  6 W 2.70-2.87, 1 Mo 2.70, 1 Re 2.71

Computed properties:
As for the energy of formation: 182.0 meV per atom. As for the space group: P1. Its excess energy over the best structure of this formula in the dataset is 0.00 kcal/mol of atoms.

Computed, not measured: Re5B3W after structural relaxation at the PBE level of DFT.

a b c (Å): 5.5381 5.5381 8.7245
angles (deg): 99.85 104.34 109.91
Closest atoms and distances in Å follow each position.
Fractional positions:
W 0.9755 0.7322 0.7077  2 B 2.10-2.30
Re 0.4764 0.2242 0.7005  2 B 2.24-2.44
Re 0.0986 0.8587 0.4106  3 B 2.20-2.35
Re 0.3066 0.3066 0.0000  1 B 1.95
Re 0.5520 0.3120 0.4106  3 B 2.20-2.35
B 0.0000 0.5000 0.5000  2 W 2.10, 4 Re 2.20
Re 0.2461 0.7511 0.9972  3 B 2.10-2.25
B 0.7140 0.5025 0.2165  6 Re 2.24-2.35
B 0.2154 0.9862 0.2015  1 B 1.89, 1 Re 2.10
B 0.7846 0.0138 0.7985  1 B 1.89, 1 Re 2.10
Re 0.4480 0.6880 0.5894  3 B 2.20-2.35
Re 0.6934 0.6934 0.0000  1 B 1.95
Re 0.7539 0.2489 0.0028  3 B 2.10-2.25
Re 0.9014 0.1413 0.5894  3 B 2.20-2.35
B 0.0000 0.0000 0.0000  2 B 1.89, 2 Re 1.95
W 0.0245 0.2678 0.2923  2 B 2.10-2.30
B 0.2860 0.4975 0.7835  6 Re 2.24-2.35
Re 0.5236 0.7758 0.2995  2 B 2.24-2.44

Computed properties:
As for the energy of formation: 304.6 meV per atom. As for the space group: C2/m.

no.,volume (Å³ per atom)
1,13.6
2,22.2
3,42.5
4,28.2
5,24.3
6,34.5
7,16.1
8,13.0